Pm7MgPb4: relaxed, PBE-GGA.

## Properties
* DFT formation energy: -217 kJ/mol of formula units
* crystal system: monoclinic
* V: 33.2 Å³/atom

```
data_Pm7MgPb4
_chemical_formula_sum 'Pm7 Mg1 Pb4'
_cell_length_a 5.823
_cell_length_b 9.683
_cell_length_c 7.978
_cell_angle_alpha 79.85
_cell_angle_beta 68.60
_cell_angle_gamma 72.50
_space_group_name_H-M_alt 'P 1'
_space_group_IT_number 1
_space_group_name_Hall 'P 1'
loop_
_atom_site_label
_atom_site_type_symbol
_atom_site_fract_x
_atom_site_fract_y
_atom_site_fract_z
_atom_site_occupancy
Pm1 Pm 0.795 0.873 0.537 1
Pm2 Pm 0.205 0.127 0.463 1
Pm3 Pm 0.077 0.671 0.176 1
Pm4 Pm 0.923 0.329 0.824 1
Pm5 Pm 0.345 0.577 0.732 1
Pm6 Pm 0.500 0.000 0.000 1
Pm7 Pm 0.655 0.423 0.268 1
Mg1 Mg 0.000 0.000 0.000 1
Pb1 Pb 0.575 0.220 0.630 1
Pb2 Pb 0.425 0.780 0.370 1
Pb3 Pb 0.714 0.667 0.905 1
Pb4 Pb 0.286 0.333 0.095 1
```